Entry 1:
# GGA-PBE Nb3SiW, optimized geometry
data_Nb3SiW
_space_group_name_H-M_alt 'P m -3 m'
_space_group_IT_number 221
_space_group_name_Hall '-P 4 2 3'
_cell_length_a 4.607
_cell_length_b 4.607
_cell_length_c 4.607
_cell_angle_alpha 90.00
_cell_angle_beta 90.00
_cell_angle_gamma 90.00
loop_
_atom_site_label
_atom_site_type_symbol
_atom_site_fract_x
_atom_site_fract_y
_atom_site_fract_z
Nb1 Nb 0.000 0.000 0.500
Si1 Si 0.000 0.000 0.000
W1 W 0.500 0.500 0.500
# uncorrected formation energy: 0.93 eV per atom
# V: 97.76 Å³/cell
# total DFT energy (no corrections): -8.7912 eV/atom
# energy relative to the lowest polymorph listed for this composition: 0.0 kJ per mole of atoms

***

Entry 2:
# GGA-PBE NbSiW2, optimized geometry
data_NbSiW2
_space_group_name_H-M_alt 'I -4 2 d'
_space_group_IT_number 122
_space_group_name_Hall 'I -4 2bw'
_cell_length_a 7.526
_cell_length_b 7.526
_cell_length_c 4.988
_cell_angle_alpha 90.00
_cell_angle_beta 90.00
_cell_angle_gamma 90.00
loop_
_atom_site_label
_atom_site_type_symbol
_atom_site_fract_x
_atom_site_fract_y
_atom_site_fract_z
Nb1 Nb 0.000 0.000 0.000
Si1 Si 0.000 0.000 0.500
W1 W 0.183 0.250 0.625
# uncorrected formation energy: 0.65 eV per atom
# V: 282.53 Å³/cell
# total DFT energy (no corrections): -9.7009 eV/atom

***

Entry 3:
# GGA-PBE Nb2SiW, optimized geometry
data_Nb2SiW
_space_group_name_H-M_alt 'I -4 2 d'
_space_group_IT_number 122
_space_group_name_Hall 'I -4 2bw'
_cell_length_a 7.243
_cell_length_b 7.243
_cell_length_c 5.377
_cell_angle_alpha 90.00
_cell_angle_beta 90.00
_cell_angle_gamma 90.00
loop_
_atom_site_label
_atom_site_type_symbol
_atom_site_fract_x
_atom_site_fract_y
_atom_site_fract_z
Nb1 Nb 0.231 0.250 0.125
Si1 Si 0.000 0.000 0.000
W1 W 0.000 0.000 0.500
# uncorrected formation energy: 0.53 eV per atom
# V: 282.11 Å³/cell
# total DFT energy (no corrections): -9.0946 eV/atom

***

Entry 4:
# GGA-PBE Nb12Si5W3, optimized geometry
data_Nb12Si5W3
_space_group_name_H-M_alt 'I a -3 d'
_space_group_IT_number 230
_space_group_name_Hall '-I 4bd 2c 3'
_cell_length_a 15.116
_cell_length_b 15.116
_cell_length_c 15.116
_cell_angle_alpha 90.00
_cell_angle_beta 90.00
_cell_angle_gamma 90.00
loop_
_atom_site_label
_atom_site_type_symbol
_atom_site_fract_x
_atom_site_fract_y
_atom_site_fract_z
Nb1 Nb 0.012 0.072 0.654
Si1 Si 0.000 0.000 0.000
Si2 Si 0.000 0.250 0.375
W1 W 0.000 0.250 0.125
# uncorrected formation energy: 0.66 eV per atom
# V: 3453.91 Å³/cell
# total DFT energy (no corrections): -8.6855 eV/atom

***

Entry 5:
# GGA-PBE NbSiW, optimized geometry
data_NbSiW
_space_group_name_H-M_alt 'P -1'
_space_group_IT_number 2
_cell_length_a 2.835
_cell_length_b 5.513
_cell_length_c 6.425
_cell_angle_alpha 76.43
_cell_angle_beta 81.21
_cell_angle_gamma 79.17
loop_
_space_group_symop_operation_xyz
'x,y,z'
'-x,-y,-z'
loop_
_atom_site_label
_atom_site_type_symbol
_atom_site_fract_x
_atom_site_fract_y
_atom_site_fract_z
Nb1 Nb 0.078 0.078 0.191
Si1 Si 0.296 0.256 0.501
W1 W 0.422 0.420 0.824
# uncorrected formation energy: -0.15 eV per atom
# V: 95.23 Å³/cell
# total DFT energy (no corrections): -9.6358 eV/atom

***

Entry 6:
# GGA-PBE Nb3SiW, optimized geometry
data_Nb3SiW
_space_group_name_H-M_alt 'P m -3 m'
_space_group_IT_number 221
_space_group_name_Hall '-P 4 2 3'
_cell_length_a 4.845
_cell_length_b 4.845
_cell_length_c 4.845
_cell_angle_alpha 90.00
_cell_angle_beta 90.00
_cell_angle_gamma 90.00
loop_
_atom_site_label
_atom_site_type_symbol
_atom_site_fract_x
_atom_site_fract_y
_atom_site_fract_z
Nb1 Nb 0.000 0.000 0.500
Si1 Si 0.500 0.500 0.500
W1 W 0.000 0.000 0.000
# uncorrected formation energy: 1.44 eV per atom
# V: 113.72 Å³/cell
# total DFT energy (no corrections): -8.2727 eV/atom
# energy relative to the lowest polymorph listed for this composition: 50.0 kJ per mole of atoms

***

Entry 7:
# GGA-PBE Nb2Si2W, optimized geometry
data_Nb2Si2W
_space_group_name_H-M_alt 'P 4/m b m'
_space_group_IT_number 127
_space_group_name_Hall '-P 4 2ab'
_cell_length_a 6.621
_cell_length_b 6.621
_cell_length_c 3.539
_cell_angle_alpha 90.00
_cell_angle_beta 90.00
_cell_angle_gamma 90.00
loop_
_atom_site_label
_atom_site_type_symbol
_atom_site_fract_x
_atom_site_fract_y
_atom_site_fract_z
Nb1 Nb 0.170 0.330 0.000
Si1 Si 0.130 0.630 0.500
W1 W 0.000 0.000 0.500
# uncorrected formation energy: -0.50 eV per atom
# V: 155.13 Å³/cell
# total DFT energy (no corrections): -9.2885 eV/atom
# energy relative to the lowest polymorph listed for this composition: 0.0 kJ per mole of atoms

***

Entry 8:
# GGA-PBE NbSi4W, optimized geometry
data_NbSi4W
_space_group_name_H-M_alt 'C 1 2/m 1'
_space_group_IT_number 12
_cell_length_a 8.667
_cell_length_b 3.258
_cell_length_c 6.525
_cell_angle_alpha 90.00
_cell_angle_beta 111.97
_cell_angle_gamma 90.00
loop_
_space_group_symop_operation_xyz
'x,y,z'
'-x,-y,-z'
'-x,y,-z'
'x,-y,z'
'x+1/2,y+1/2,z'
'-x+1/2,-y+1/2,-z'
'-x+1/2,y+1/2,-z'
'x+1/2,-y+1/2,z'
loop_
_atom_site_label
_atom_site_type_symbol
_atom_site_fract_x
_atom_site_fract_y
_atom_site_fract_z
Nb1 Nb 0.000 0.000 0.000
Si1 Si 0.166 0.500 0.336
Si2 Si 0.166 0.500 0.828
W1 W 0.000 0.000 0.500
# uncorrected formation energy: -0.41 eV per atom
# V: 170.85 Å³/cell
# total DFT energy (no corrections): -7.8665 eV/atom